# 1
Here is a relaxed LiLaTl crystal from the Alexandria database. Energies are from PBEsol.

The structure belongs to space group Imm2 (No. 44); the cell edges are 3.3218, 4.9473 and 9.4904 Å and the angles 90.00°, 90.00° and 90.00°. Symmetry generates all atoms from Li at (0.0000, 0.0000, 0.0000), La at (0.0000, 0.0000, 0.3237) and Tl at (0.0000, 0.0000, 0.6643).

As for the final energy: -3.527 eV per atom. The calculated volume comes out at 156.0 Å³/cell. For the energy of formation, the calculation gives -0.2124 eV per atom. The mass density is 7.458 Mg/m³. Its relative energy among the computed polymorphs is 0.1287 eV per atom.

---

# 2
Here is a relaxed Na3TaMo crystal from the Alexandria database. Energies are from PBEsol.

The structure belongs to space group Pm-3m (No. 221); the cell edges are 5.6036, 5.6036 and 5.6036 Å and the angles 90.00°, 90.00° and 90.00°. Symmetry generates all atoms from Na at (0.0000, 0.0000, 0.5000), Ta at (0.5000, 0.5000, 0.5000) and Mo at (0.0000, 0.0000, 0.0000).

As for the final energy: -3.119 eV per atom. The calculated volume comes out at 176.0 Å³/cell. For the energy of formation, the calculation gives 2.5851 eV per atom. The mass density is 3.264 Mg/m³.

---

# 3
Here is a relaxed SrBSb2 crystal from the Alexandria database. Energies are from PBEsol.

The structure belongs to space group I-42d (No. 122); the cell edges are 7.3399, 7.3399 and 7.3804 Å and the angles 90.00°, 90.00° and 90.00°. Symmetry generates all atoms from Sr at (0.0000, 0.0000, 0.0000), B at (0.0000, 0.0000, 0.5000) and Sb at (0.1472, 0.2500, 0.6250).

As for the final energy: -4.602 eV per atom. The calculated volume comes out at 397.6 Å³/cell. The mass density is 5.712 Mg/m³. The calculation puts the raw formation energy at -0.1093 eV per atom.

---

# 4
Here is a relaxed SrLi2Os crystal from the Alexandria database. Energies are from PBEsol.

The structure belongs to space group P2/m (No. 10); the cell edges are 2.7021, 4.7743 and 5.6895 Å and the angles 90.00°, 92.04° and 90.00°. Symmetry generates all atoms from Sr at (0.0000, 0.0000, 0.0000), Li at (0.1965, 0.5000, 0.6808) and Os at (0.5000, 0.0000, 0.5000).

As for the final energy: -3.983 eV per atom. The calculated volume comes out at 73.3 Å³/cell. For the energy of formation, the calculation gives 0.5147 eV per atom. The mass density is 6.604 Mg/m³. Its relative energy among the computed polymorphs is 0.0000 eV per atom.

---

# 5
Here is a relaxed CaTl2In crystal from the Alexandria database. Energies are from PBEsol.

The structure belongs to space group P4mm (No. 99); the cell edges are 3.9043, 3.9043 and 7.1386 Å and the angles 90.00°, 90.00° and 90.00°. Symmetry generates all atoms from Ca at (0.0000, 0.0000, 0.0000), Tl at (0.0000, 0.0000, 0.4942), Tl at (0.5000, 0.5000, 0.7386) and In at (0.5000, 0.5000, 0.2656).

As for the final energy: -2.828 eV per atom. The calculated volume comes out at 108.8 Å³/cell. For the energy of formation, the calculation gives -0.2343 eV per atom. The mass density is 8.601 Mg/m³.

---

# 6
Here is a relaxed RbNa2Cr crystal from the Alexandria database. Energies are from PBEsol.

The structure belongs to space group I-42d (No. 122); the cell edges are 9.5556, 9.5556 and 7.2124 Å and the angles 90.00°, 90.00° and 90.00°. Symmetry generates all atoms from Rb at (0.0000, 0.0000, 0.0000), Na at (0.1911, 0.7500, 0.6250) and Cr at (0.0000, 0.0000, 0.5000).

As for the final energy: -2.702 eV per atom. The calculated volume comes out at 658.6 Å³/cell. For the energy of formation, the calculation gives 0.8143 eV per atom. The mass density is 1.850 Mg/m³.

---

# 7
Here is a relaxed Lu3Cu crystal from the Alexandria database. Energies are from PBEsol.

The structure belongs to space group Cmcm (No. 63); the cell edges are 3.4321, 11.9895 and 9.0930 Å and the angles 90.00°, 90.00° and 90.00°. Symmetry generates all atoms from Lu at (0.0000, 0.0624, 0.2500), Lu at (0.0000, 0.3648, 0.0601) and Cu at (0.0000, 0.2504, 0.7500).

As for the final energy: -4.845 eV per atom. The calculated volume comes out at 374.2 Å³/cell. For the energy of formation, the calculation gives -0.1074 eV per atom. The mass density is 10.446 Mg/m³.

---

# 8
Here is a relaxed Ba2La2NiW2O12 crystal from the Alexandria database. Energies are from PBEsol.

The structure belongs to space group R-3m (No. 166, hexagonal axes); the cell edges are 5.6119, 5.6119 and 27.2490 Å and the angles 90.00°, 90.00° and 120.00°. Symmetry generates all atoms from Ba at (0.0000, 0.0000, 0.1325), La at (0.0000, 0.0000, 0.2938), Ni at (0.0000, 0.0000, 0.0000), W at (0.0000, 0.0000, 0.4183), O at (0.0015, 0.5008, 0.8823) and O at (0.0202, 0.5101, 0.2956).

As for the final energy: -8.512 eV per atom. The calculated volume comes out at 743.2 Å³/cell. The mass density is 7.848 Mg/m³. The calculation puts the raw formation energy at -2.6302 eV per atom.

---

# 9
Here is a relaxed Mn2FeRh crystal from the Alexandria database. Energies are from PBEsol.

The structure belongs to space group Pmm2 (No. 25); the cell edges are 2.5441, 3.5441 and 5.0745 Å and the angles 90.00°, 90.00° and 90.00°. Symmetry generates all atoms from Mn at (0.0000, 0.0000, 0.0000), Mn at (0.5000, 0.5000, 0.2437), Fe at (0.5000, 0.5000, 0.7647) and Rh at (0.0000, 0.0000, 0.5038).

As for the final energy: -9.123 eV per atom. The calculated volume comes out at 45.8 Å³/cell. For the energy of formation, the calculation gives 0.0333 eV per atom. The mass density is 9.749 Mg/m³. Its relative energy among the computed polymorphs is 0.0026 eV per atom.

---

# 10
Here is a relaxed ScHPd3 crystal from the Alexandria database. Energies are from PBEsol.

The structure belongs to space group Pm-3m (No. 221); the cell edges are 3.9877, 3.9877 and 3.9877 Å and the angles 90.00°, 90.00° and 90.00°. Symmetry generates all atoms from Sc at (0.0000, 0.0000, 0.0000), H at (0.5000, 0.5000, 0.5000) and Pd at (0.0000, 0.5000, 0.5000).

As for the final energy: -6.304 eV per atom. The calculated volume comes out at 63.4 Å³/cell. The mass density is 9.564 Mg/m³. Its relative energy among the computed polymorphs is 0.0000 eV per atom.

---

# 11
Here is a relaxed SrMnAs crystal from the Alexandria database. Energies are from PBEsol.

The structure belongs to space group P-6m2 (No. 187); the cell edges are 4.2761, 4.2761 and 4.4756 Å and the angles 90.00°, 90.00° and 120.00°. Symmetry generates all atoms from Sr at (0.0000, 0.0000, 0.0000), Mn at (0.6667, 0.3333, 0.5000) and As at (0.3333, 0.6667, 0.5000).

As for the final energy: -5.985 eV per atom. The calculated volume comes out at 70.9 Å³/cell. For the energy of formation, the calculation gives -0.4156 eV per atom. The mass density is 5.096 Mg/m³.

---

# 12
Here is a relaxed TaTiNbI2 crystal from the Alexandria database. Energies are from PBEsol.

The structure belongs to space group P4/mmm (No. 123); the cell edges are 5.3263, 5.3263 and 4.9269 Å and the angles 90.00°, 90.00° and 90.00°. Symmetry generates all atoms from Ta at (0.0000, 0.0000, 0.0000), Ti at (0.5000, 0.5000, 0.5000), Nb at (0.0000, 0.0000, 0.5000) and I at (0.0000, 0.5000, 0.0000).

As for the final energy: -5.573 eV per atom. The calculated volume comes out at 139.8 Å³/cell. The mass density is 6.837 Mg/m³. The calculation puts the raw formation energy at 1.4727 eV per atom.

---

Q: Look up the mass density of the seventh one.
A: 10.446 Mg/m³

---

Q: Among the records above, which one has the lowest mass density?
A: RbNa2Cr